# 1
Si2NiAgPd | the Alexandria database | PBE | relaxed; raw formation energy = 0.705 eV per atom; DOS(E_F) = 1.259 states/eV per atom; E = -21.1 eV per cell
1.0
4.541 0.000 0.000
0.000 4.541 0.000
0.000 0.000 4.811
Si Ni Ag Pd
2 1 1 1
Cartesian
0.000 2.271 0.000 Si
2.271 0.000 0.000 Si
0.000 0.000 2.406 Ni
2.271 2.271 2.406 Ag
0.000 0.000 0.000 Pd


# 2
ThNiAgPd | the Alexandria database | PBE | relaxed; DOS(E_F) = 0.855 states/eV per atom; E = -22.6 eV per cell
1.0
0.000 3.389 3.389
3.389 0.000 3.389
3.389 3.389 0.000
Th Ni Ag Pd
1 1 1 1
Cartesian
0.000 0.000 0.000 Th
1.694 1.694 1.694 Ni
3.389 3.389 3.389 Ag
5.083 5.083 5.083 Pd


# 3
Ti2NiAgPd | the Alexandria database | PBE | relaxed; DOS(E_F) = 1.194 states/eV per atom; E = -27.6 eV per cell
1.0
4.426 0.000 0.000
0.000 4.426 0.000
0.000 0.000 4.693
Ti Ni Ag Pd
2 1 1 1
Cartesian
0.000 2.213 0.000 Ti
2.213 0.000 0.000 Ti
0.000 0.000 0.000 Ni
0.000 0.000 2.346 Ag
2.213 2.213 2.346 Pd


# 4
TlNiAgPd | the Alexandria database | PBE | relaxed; DOS(E_F) = 0.532 states/eV per atom; E = -15.9 eV per cell
1.0
0.000 3.225 3.225
3.225 0.000 3.225
3.225 3.225 0.000
Tl Ni Ag Pd
1 1 1 1
Cartesian
0.000 0.000 0.000 Tl
1.612 1.612 1.612 Ni
3.225 3.225 3.225 Ag
4.837 4.837 4.837 Pd


# 5
Pm2NiAg | the Alexandria database | PBE | relaxed; DOS(E_F) = 0.647 states/eV per atom; E = -18.9 eV per cell
1.0
2.039 1.177 7.290
-2.039 1.177 7.290
0.000 -2.354 7.290
Pm Ni Ag
2 1 1
Cartesian
0.000 0.000 0.000 Pm
0.000 0.000 4.242 Pm
0.000 0.000 13.018 Ni
0.000 0.000 9.439 Ag


# 6
Pm3Ni2Ag | the Alexandria database | PBE | relaxed; DOS(E_F) = 0.909 states/eV per atom; E = -60.5 eV per cell
1.0
4.179 0.000 0.000
0.000 9.302 0.000
0.000 0.000 7.287
Pm Ni Ag
6 4 2
Cartesian
0.000 0.570 0.000 Pm
0.000 8.733 3.643 Pm
2.090 2.350 2.748 Pm
2.090 3.310 6.211 Pm
2.090 5.992 2.568 Pm
2.090 6.953 6.392 Pm
0.000 2.061 4.717 Ni
0.000 7.241 1.074 Ni
2.090 0.600 5.242 Ni
2.090 8.702 1.598 Ni
0.000 4.443 0.880 Ag
0.000 4.859 4.524 Ag


# 7
Pm2NiAg | the Alexandria database | PBE | relaxed; DOS(E_F) = 0.729 states/eV per atom; E = -19.0 eV per cell
1.0
0.000 3.614 3.614
3.614 0.000 3.614
3.614 3.614 0.000
Pm Ni Ag
2 1 1
Cartesian
1.807 1.807 1.807 Pm
5.421 5.421 5.421 Pm
0.000 0.000 0.000 Ni
3.614 3.614 3.614 Ag


# 8
Pm4NiAg | the Alexandria database | PBE | relaxed; DOS(E_F) = 1.043 states/eV per atom; E = -115.9 eV per cell
1.0
0.000 6.861 6.861
6.861 0.000 6.861
6.861 6.861 0.000
Pm Ni Ag
16 4 4
Cartesian
3.431 3.431 0.812 Pm
3.431 0.812 3.431 Pm
6.050 3.431 3.431 Pm
6.861 6.861 2.560 Pm
6.861 2.560 6.861 Pm
11.163 6.861 6.861 Pm
8.237 5.486 5.486 Pm
0.812 3.431 3.431 Pm
3.431 6.050 3.431 Pm
3.431 3.431 6.050 Pm
5.486 8.237 5.486 Pm
5.486 5.486 8.237 Pm
8.237 8.237 8.237 Pm
2.560 6.861 6.861 Pm
6.861 11.163 6.861 Pm
6.861 6.861 11.163 Pm
5.393 5.393 5.393 Ni
8.330 8.330 5.393 Ni
8.330 5.393 8.330 Ni
5.393 8.330 8.330 Ni
11.403 9.181 9.181 Ag
9.181 11.403 9.181 Ag
9.181 9.181 11.403 Ag
11.403 11.403 11.403 Ag


# 9
PmNi2Ag | the Alexandria database | PBE | relaxed; DOS(E_F) = 0.396 states/eV per atom; E = -19.7 eV per cell
1.0
2.185 1.261 4.509
-2.185 1.261 4.509
0.000 -2.523 4.509
Pm Ni Ag
1 2 1
Cartesian
0.000 0.000 0.000 Pm
0.000 0.000 2.706 Ni
0.000 0.000 10.820 Ni
0.000 0.000 6.763 Ag


# 10
PmNi2Ag | the Alexandria database | PBE | relaxed; DOS(E_F) = 0.455 states/eV per atom; E = -19.4 eV per cell
1.0
4.288 0.000 0.000
0.000 4.288 0.000
0.000 0.000 3.727
Pm Ni Ag
1 2 1
Cartesian
0.000 0.000 0.000 Pm
0.000 2.144 1.863 Ni
2.144 0.000 1.863 Ni
2.144 2.144 0.000 Ag


# 11
Pm3Ni8Ag | the Alexandria database | PBE | relaxed; DOS(E_F) = 1.006 states/eV per atom; E = -67.0 eV per cell
1.0
2.533 1.462 8.330
-2.533 1.462 8.330
0.000 -2.924 8.330
Pm Ni Ag
3 8 1
Cartesian
0.000 0.000 0.000 Pm
0.000 0.000 3.228 Pm
0.000 0.000 12.860 Pm
-1.274 -0.735 10.028 Ni
0.000 -1.449 5.892 Ni
-1.255 0.725 5.892 Ni
0.000 0.000 7.955 Ni
1.255 0.725 5.892 Ni
1.274 -0.735 10.028 Ni
0.000 1.471 10.028 Ni
0.000 0.000 20.461 Ni
0.000 0.000 15.867 Ag


# 12
Pm6Ni3Ag | the Alexandria database | PBE | relaxed; DOS(E_F) = 1.104 states/eV per atom; E = -99.6 eV per cell
1.0
5.375 -7.047 0.000
5.375 7.047 0.000
0.000 0.000 7.162
Pm Ni Ag
12 6 2
Cartesian
5.375 6.895 3.581 Pm
3.324 2.997 3.879 Pm
5.375 3.853 1.298 Pm
3.524 0.502 0.868 Pm
3.524 -0.502 4.448 Pm
7.426 2.997 3.879 Pm
3.324 -2.997 0.298 Pm
7.226 0.502 0.868 Pm
7.226 -0.502 4.448 Pm
5.375 -3.853 4.879 Pm
7.426 -2.997 0.298 Pm
5.375 -6.895 0.000 Pm
1.993 1.527 5.809 Ni
1.993 -1.527 2.228 Ni
5.375 1.340 2.850 Ni
5.375 -1.340 6.431 Ni
8.758 1.527 5.809 Ni
8.758 -1.527 2.228 Ni
5.375 4.548 5.537 Ag
5.375 -4.548 1.956 Ag


# 13
Pm3Ni2Ag2 | the Alexandria database | PBE | relaxed; DOS(E_F) = 0.796 states/eV per atom; E = -33.8 eV per cell
1.0
5.505 -1.952 0.000
5.505 1.952 0.000
-2.730 0.000 7.558
Pm Ni Ag
3 2 2
Cartesian
0.000 0.000 0.000 Pm
0.220 0.000 5.099 Pm
8.060 0.000 2.459 Pm
3.215 0.000 0.484 Ni
5.066 0.000 7.074 Ni
3.297 0.000 5.005 Ag
4.983 0.000 2.553 Ag


# 14
PmNi4Ag | the Alexandria database | PBE | relaxed; DOS(E_F) = 1.175 states/eV per atom; E = -32.1 eV per cell
1.0
0.000 3.535 3.535
3.535 0.000 3.535
3.535 3.535 0.000
Pm Ni Ag
1 4 1
Cartesian
0.000 0.000 0.000 Pm
2.657 2.657 2.657 Ni
4.413 4.413 2.657 Ni
4.413 2.657 4.413 Ni
2.657 4.413 4.413 Ni
5.302 5.302 5.302 Ag


# 15
PmNiAg2 | the Alexandria database | PBE | relaxed; DOS(E_F) = 0.517 states/eV per atom; E = -34.3 eV per cell
1.0
2.641 -6.644 0.000
2.641 6.644 0.000
-2.552 0.000 4.527
Pm Ni Ag
2 2 4
Cartesian
0.726 4.663 3.396 Pm
2.003 -4.663 1.132 Pm
2.003 3.334 1.132 Ni
0.726 -3.334 3.396 Ni
-0.600 1.115 4.121 Ag
0.676 -1.115 1.857 Ag
2.053 1.115 2.670 Ag
3.329 -1.115 0.406 Ag


# 16
Pm3NiAg2 | the Alexandria database | PBE | relaxed; DOS(E_F) = 0.865 states/eV per atom; E = -52.9 eV per cell
1.0
7.288 -2.971 0.000
7.288 2.971 0.000
-2.084 0.000 7.496
Pm Ni Ag
6 2 4
Cartesian
5.724 2.968 5.622 Pm
4.391 0.000 3.224 Pm
3.349 0.000 6.972 Pm
9.142 0.000 0.524 Pm
8.100 0.000 4.272 Pm
6.767 -2.968 1.874 Pm
6.767 0.003 1.874 Ni
5.724 -0.003 5.622 Ni
2.487 0.000 0.680 Ag
1.445 0.000 4.428 Ag
11.046 0.000 3.068 Ag
10.004 0.000 6.816 Ag


# 17
Pm6NiAg2 | the Alexandria database | PBE | relaxed; DOS(E_F) = 1.185 states/eV per atom; E = -82.1 eV per cell
1.0
6.812 0.000 0.000
0.000 7.495 0.000
-5.970 0.000 10.394
Pm Ni Ag
12 2 4
Cartesian
-0.701 0.135 2.602 Pm
-3.686 3.612 7.799 Pm
1.105 5.140 0.611 Pm
-1.880 6.103 5.808 Pm
2.198 1.381 0.486 Pm
-0.787 2.367 5.682 Pm
1.629 5.128 4.711 Pm
-1.356 6.114 9.908 Pm
2.722 1.392 4.585 Pm
-0.263 2.355 9.782 Pm
4.528 3.883 2.595 Pm
1.543 7.360 7.792 Pm
0.421 0.000 5.197 Ni
3.406 3.747 0.000 Ni
-2.313 0.812 7.886 Ag
0.672 2.935 2.689 Ag
0.170 4.560 7.705 Ag
3.155 6.683 2.508 Ag


# 18
Pm4Ni3Ag | the Alexandria database | PBE | relaxed; DOS(E_F) = 0.798 states/eV per atom; E = -41.6 eV per cell
1.0
3.819 0.000 0.000
0.000 4.547 0.000
0.000 0.000 10.532
Pm Ni Ag
4 3 1
Cartesian
0.000 0.000 0.000 Pm
0.000 2.274 2.753 Pm
1.909 0.000 4.956 Pm
1.909 2.274 8.098 Pm
0.000 2.274 5.742 Ni
1.909 0.000 2.093 Ni
1.909 2.274 0.575 Ni
0.000 0.000 7.344 Ag


# 19
Pm2NiAg | the Alexandria database | PBE | relaxed; DOS(E_F) = 1.035 states/eV per atom; E = -19.2 eV per cell
1.0
3.563 0.000 0.000
0.000 3.563 0.000
0.000 0.000 7.381
Pm Ni Ag
2 1 1
Cartesian
0.000 0.000 1.670 Pm
0.000 0.000 5.710 Pm
1.781 1.781 0.000 Ni
1.781 1.781 3.690 Ag


# 20
Pm6NiAg2 | the Alexandria database | PBE | relaxed; DOS(E_F) = 1.117 states/eV per atom; E = -81.9 eV per cell
1.0
-4.916 4.972 5.169
4.916 -4.972 5.169
4.916 4.972 -5.169
Pm Ni Ag
12 2 4
Cartesian
4.916 3.303 -2.613 Pm
3.258 0.000 2.313 Pm
6.573 0.000 2.313 Pm
2.304 3.146 0.000 Pm
2.612 -1.826 5.169 Pm
0.000 1.668 2.556 Pm
4.916 3.303 2.613 Pm
2.304 6.797 0.000 Pm
2.612 1.826 5.169 Pm
-1.658 4.972 2.856 Pm
1.658 4.972 2.856 Pm
0.000 1.668 7.781 Pm
0.000 4.972 0.000 Ni
0.000 0.000 5.169 Ni
1.348 0.000 0.000 Ag
8.483 0.000 0.000 Ag
4.916 1.456 0.000 Ag
0.000 3.515 5.169 Ag